(1)
{
  "formula": "LaInSi",
  "functional": "PBEsol",
  "state": "optimized geometry",
  "lattice": [[0.000, 3.534, 3.534], [3.534, 0.000, 3.534], [3.534, 3.534, 0.000]],
  "species": ["La", "In", "Si"],
  "frac_coords": [[0.000, 0.000, 0.000], [0.750, 0.750, 0.750], [0.250, 0.250, 0.250]],
  "space_group": "F-43m, No. 216",
  "raw_formation_energy_kj_per_mol_atoms": 6.00
}


(2)
{
  "formula": "LaIn2Si",
  "functional": "PBEsol",
  "state": "optimized geometry",
  "lattice": [[2.509, -2.772, 0.000], [2.509, 2.772, 0.000], [0.000, 0.000, 6.960]],
  "species": ["La", "In", "In", "Si"],
  "frac_coords": [[0.000, 0.000, 0.000], [0.000, 0.000, 0.539], [0.500, 0.500, 0.310], [0.500, 0.500, 0.730]],
  "space_group": "Cmm2, No. 35",
  "raw_formation_energy_kj_per_mol_atoms": -22.91
}


(3)
{
  "formula": "La2TaInSi",
  "functional": "PBEsol",
  "state": "optimized geometry",
  "lattice": [[5.573, 0.000, 0.000], [0.000, 5.573, 0.000], [0.000, 0.000, 4.813]],
  "species": ["La", "La", "Ta", "In", "Si"],
  "frac_coords": [[0.000, 0.500, 0.000], [0.500, 0.000, 0.000], [0.000, 0.000, 0.500], [0.500, 0.500, 0.500], [0.500, 0.500, 0.000]],
  "space_group": "P4/mmm, No. 123",
  "raw_formation_energy_kj_per_mol_atoms": 72.98
}


(4)
{
  "formula": "Sr2LaIn",
  "functional": "PBEsol",
  "state": "optimized geometry",
  "lattice": [[3.953, 0.000, 0.000], [0.000, 3.953, 0.000], [0.000, 0.000, 9.997]],
  "species": ["Sr", "Sr", "La", "In"],
  "frac_coords": [[0.000, 0.000, 0.000], [0.500, 0.500, 0.327], [0.500, 0.500, 0.711], [0.000, 0.000, 0.533]],
  "space_group": "P4mm, No. 99",
  "e_form_ev_per_atom": -0.191
}


(5)
{
  "formula": "SrLaIn2",
  "functional": "PBEsol",
  "state": "optimized geometry",
  "lattice": [[3.612, 0.000, 0.000], [0.000, 4.596, 0.000], [0.000, 0.000, 7.291]],
  "species": ["Sr", "La", "In", "In"],
  "frac_coords": [[0.000, 0.000, 0.000], [0.000, 0.000, 0.500], [0.500, 0.500, 0.269], [0.500, 0.500, 0.731]],
  "space_group": "Pmmm, No. 47",
  "e_form_ev_per_atom": -0.466
}


(6)
{
  "formula": "SrLaIn2",
  "functional": "PBEsol",
  "state": "optimized geometry",
  "lattice": [[3.917, 0.000, 0.000], [0.000, 5.458, 0.000], [0.000, 0.000, 5.631]],
  "species": ["Sr", "La", "In", "In"],
  "frac_coords": [[0.000, 0.000, 0.000], [0.000, 0.500, 0.431], [0.500, 0.000, 0.510], [0.500, 0.500, 0.915]],
  "space_group": "Pmm2, No. 25",
  "e_form_ev_per_atom": -0.476
}


(7)
{
  "formula": "SrLaIn2",
  "functional": "PBEsol",
  "state": "optimized geometry",
  "lattice": [[0.000, 3.911, 3.911], [3.911, 0.000, 3.911], [3.911, 3.911, 0.000]],
  "species": ["Sr", "La", "In", "In"],
  "frac_coords": [[0.000, 0.000, 0.000], [0.750, 0.750, 0.750], [0.250, 0.250, 0.250], [0.500, 0.500, 0.500]],
  "space_group": "F-43m, No. 216",
  "e_form_ev_per_atom": -0.081
}


(8)
{
  "formula": "SrLaIn2",
  "functional": "PBEsol",
  "state": "optimized geometry",
  "lattice": [[6.319, -1.956, 0.000], [6.319, 1.956, 0.000], [-2.302, 0.000, 4.894]],
  "species": ["Sr", "La", "In", "In"],
  "frac_coords": [[0.000, 0.000, 0.000], [0.782, 0.782, 0.283], [0.236, 0.236, 0.738], [0.544, 0.544, 0.543]],
  "space_group": "Cm, No. 8",
  "e_form_ev_per_atom": -0.397
}


(9)
{
  "formula": "SrLaZr2In",
  "functional": "PBEsol",
  "state": "optimized geometry",
  "lattice": [[5.190, 0.000, 0.000], [0.000, 5.190, 0.000], [0.000, 0.000, 6.004]],
  "species": ["Sr", "La", "Zr", "Zr", "In"],
  "frac_coords": [[0.000, 0.000, 0.000], [0.500, 0.500, 0.500], [0.000, 0.500, 0.500], [0.500, 0.000, 0.500], [0.500, 0.500, 0.000]],
  "space_group": "P4/mmm, No. 123",
  "e_form_ev_per_atom": 0.804
}


(10)
{
  "formula": "LaTa2In",
  "functional": "PBEsol",
  "state": "optimized geometry",
  "lattice": [[-1.521, 2.749, 5.202], [1.521, -2.749, 5.202], [1.521, 2.749, -5.202]],
  "species": ["La", "Ta", "Ta", "In"],
  "frac_coords": [[0.000, 0.000, 0.000], [0.259, 0.759, 0.500], [0.741, 0.241, 0.500], [0.500, 0.500, 0.000]],
  "space_group": "Immm, No. 71",
  "e_form_ev_per_atom": 0.449
}


(11)
{
  "formula": "LaTa2In",
  "functional": "PBEsol",
  "state": "optimized geometry",
  "lattice": [[4.643, -1.492, 0.000], [4.643, 1.492, 0.000], [-0.531, 0.000, 6.678]],
  "species": ["La", "Ta", "Ta", "In"],
  "frac_coords": [[0.000, 0.000, 0.000], [0.515, 0.515, 0.467], [0.775, 0.775, 0.303], [0.253, 0.253, 0.691]],
  "space_group": "Cm, No. 8",
  "e_form_ev_per_atom": 0.354
}


(12)
{
  "formula": "LaTaIn2W",
  "functional": "PBEsol",
  "state": "optimized geometry",
  "lattice": [[5.569, 0.000, 0.000], [0.000, 5.569, 0.000], [0.000, 0.000, 5.035]],
  "species": ["La", "Ta", "In", "In", "W"],
  "frac_coords": [[0.000, 0.000, 0.000], [0.000, 0.000, 0.500], [0.000, 0.500, 0.000], [0.500, 0.000, 0.000], [0.500, 0.500, 0.500]],
  "space_group": "P4/mmm, No. 123",
  "e_form_ev_per_atom": 2.641
}


(13)
{
  "formula": "La3InTc",
  "functional": "PBEsol",
  "state": "optimized geometry",
  "lattice": [[5.353, 0.000, 0.000], [0.000, 5.353, 0.000], [0.000, 0.000, 5.353]],
  "species": ["La", "La", "La", "In", "Tc"],
  "frac_coords": [[0.000, 0.000, 0.500], [0.000, 0.500, 0.000], [0.500, 0.000, 0.000], [0.500, 0.500, 0.500], [0.000, 0.000, 0.000]],
  "space_group": "Pm-3m, No. 221",
  "e_form_ev_per_atom": -0.114
}


(14)
{
  "formula": "LaIn2Te",
  "functional": "PBEsol",
  "state": "optimized geometry",
  "lattice": [[-2.213, 2.222, 5.603], [2.213, -2.222, 5.603], [2.213, 2.222, -5.603]],
  "species": ["La", "In", "In", "Te"],
  "frac_coords": [[0.000, 0.000, 0.000], [0.250, 0.750, 0.500], [0.750, 0.250, 0.500], [0.500, 0.500, 0.000]],
  "relative_energy_mev_per_atom": 0,
  "space_group": "Immm, No. 71",
  "raw_formation_energy_kj_per_mol_atoms": -67.13
}


(15)
{
  "formula": "LaInTe2",
  "functional": "PBEsol",
  "state": "optimized geometry",
  "lattice": [[5.279, 0.000, 0.000], [0.000, 5.279, 0.000], [0.000, 0.000, 4.061]],
  "species": ["La", "In", "Te", "Te"],
  "frac_coords": [[0.000, 0.000, 0.000], [0.500, 0.500, 0.000], [0.000, 0.500, 0.500], [0.500, 0.000, 0.500]],
  "space_group": "P4/mmm, No. 123",
  "raw_formation_energy_kj_per_mol_atoms": -92.68
}


(16)
{
  "formula": "LaIn2Te",
  "functional": "PBEsol",
  "state": "optimized geometry",
  "lattice": [[4.074, 0.000, 0.000], [0.000, 4.074, 0.000], [0.000, 0.000, 6.636]],
  "species": ["La", "In", "In", "Te"],
  "frac_coords": [[0.000, 0.000, 0.000], [0.500, 0.500, 0.268], [0.500, 0.500, 0.732], [0.000, 0.000, 0.500]],
  "relative_energy_mev_per_atom": 247,
  "space_group": "P4/mmm, No. 123",
  "raw_formation_energy_kj_per_mol_atoms": -43.32
}


(17)
{
  "formula": "LaInTe2",
  "functional": "PBEsol",
  "state": "optimized geometry",
  "lattice": [[4.540, 0.000, 0.000], [0.000, 4.540, 0.000], [0.000, 0.000, 6.431]],
  "species": ["La", "In", "Te", "Te"],
  "frac_coords": [[0.000, 0.000, 0.000], [0.500, 0.500, 0.500], [0.000, 0.000, 0.500], [0.500, 0.500, 0.000]],
  "space_group": "P4/mmm, No. 123",
  "raw_formation_energy_kj_per_mol_atoms": -92.63
}


(18)
{
  "formula": "LaInTe2",
  "functional": "PBEsol",
  "state": "optimized geometry",
  "lattice": [[4.359, 0.000, 0.000], [0.000, 4.633, 0.000], [-2.178, 0.000, 5.927]],
  "species": ["La", "In", "Te", "Te"],
  "frac_coords": [[0.000, 0.000, 0.000], [0.806, 0.500, 0.605], [0.290, 0.000, 0.577], [0.562, 0.500, 0.125]],
  "space_group": "Pm, No. 6",
  "raw_formation_energy_kj_per_mol_atoms": -108.75
}


(19)
{
  "formula": "LaInTe2",
  "functional": "PBEsol",
  "state": "optimized geometry",
  "lattice": [[-4.186, 4.186, 3.973], [4.186, -4.186, 3.973], [4.186, 4.186, -3.973]],
  "species": ["La", "La", "In", "In", "Te", "Te", "Te", "Te"],
  "frac_coords": [[0.000, 0.000, 0.000], [0.750, 0.250, 0.500], [0.250, 0.750, 0.500], [0.500, 0.500, 0.000], [0.119, 0.125, 0.494], [0.375, 0.881, 0.006], [0.631, 0.625, 0.506], [0.875, 0.369, 0.994]],
  "space_group": "I-42d, No. 122",
  "raw_formation_energy_kj_per_mol_atoms": -71.17
}


(20)
{
  "formula": "LaTi2In2",
  "functional": "PBEsol",
  "state": "optimized geometry",
  "lattice": [[-2.249, 2.249, 5.802], [2.249, -2.249, 5.802], [2.249, 2.249, -5.802]],
  "species": ["La", "Ti", "Ti", "In", "In"],
  "frac_coords": [[0.000, 0.000, 0.000], [0.399, 0.399, 0.000], [0.601, 0.601, 0.000], [0.250, 0.750, 0.500], [0.750, 0.250, 0.500]],
  "space_group": "I4/mmm, No. 139",
  "e_form_ev_per_atom": 0.049
}


(21)
{
  "formula": "La2TlIn",
  "functional": "PBEsol",
  "state": "optimized geometry",
  "lattice": [[3.577, -4.554, 0.000], [3.577, 4.554, 0.000], [0.000, 0.000, 3.558]],
  "species": ["La", "La", "Tl", "In"],
  "frac_coords": [[0.000, 0.500, 0.000], [0.500, 0.000, 0.000], [0.000, 0.000, 0.500], [0.500, 0.500, 0.500]],
  "space_group": "Cmmm, No. 65",
  "e_form_ev_per_atom": -0.502
}


(22)
{
  "formula": "La2TlIn",
  "functional": "PBEsol",
  "state": "optimized geometry",
  "lattice": [[3.547, 0.000, 0.000], [0.000, 4.538, 0.000], [0.000, 0.000, 7.206]],
  "species": ["La", "La", "Tl", "In"],
  "frac_coords": [[0.000, 0.000, 0.248], [0.000, 0.000, 0.752], [0.500, 0.500, 0.500], [0.500, 0.500, 0.000]],
  "space_group": "Pmmm, No. 47",
  "e_form_ev_per_atom": -0.503
}


(23)
{
  "formula": "La2TlIn",
  "functional": "PBEsol",
  "state": "optimized geometry",
  "lattice": [[0.000, 3.900, 3.900], [3.900, 0.000, 3.900], [3.900, 3.900, 0.000]],
  "species": ["La", "La", "Tl", "In"],
  "frac_coords": [[0.250, 0.250, 0.250], [0.750, 0.750, 0.750], [0.000, 0.000, 0.000], [0.500, 0.500, 0.500]],
  "space_group": "Fm-3m, No. 225",
  "e_form_ev_per_atom": -0.495
}


(24)
{
  "formula": "LaTl2In",
  "functional": "PBEsol",
  "state": "optimized geometry",
  "lattice": [[-2.347, 2.347, 4.966], [2.347, -2.347, 4.966], [2.347, 2.347, -4.966]],
  "species": ["La", "Tl", "Tl", "In"],
  "frac_coords": [[0.000, 0.000, 0.000], [0.500, 0.500, 0.000], [0.750, 0.250, 0.500], [0.250, 0.750, 0.500]],
  "space_group": "I-4m2, No. 119",
  "e_form_ev_per_atom": -0.347
}


(25)
{
  "formula": "La2TlIn",
  "functional": "PBEsol",
  "state": "optimized geometry",
  "lattice": [[1.930, 1.114, 9.892], [-1.930, 1.114, 9.892], [0.000, -2.229, 9.892]],
  "species": ["La", "La", "Tl", "In"],
  "frac_coords": [[0.249, 0.249, 0.249], [0.751, 0.751, 0.751], [0.000, 0.000, 0.000], [0.500, 0.500, 0.500]],
  "space_group": "R-3m, No. 166",
  "e_form_ev_per_atom": -0.287
}


(26)
{
  "formula": "LaTl2In",
  "functional": "PBEsol",
  "state": "optimized geometry",
  "lattice": [[-2.381, 2.381, 4.800], [2.381, -2.381, 4.800], [2.381, 2.381, -4.800]],
  "species": ["La", "Tl", "Tl", "In"],
  "frac_coords": [[0.000, 0.000, 0.000], [0.250, 0.750, 0.500], [0.750, 0.250, 0.500], [0.500, 0.500, 0.000]],
  "space_group": "I4/mmm, No. 139",
  "e_form_ev_per_atom": -0.341
}


(27)
{
  "formula": "La2TlIn",
  "functional": "PBEsol",
  "state": "optimized geometry",
  "lattice": [[4.394, 0.000, 0.000], [0.000, 5.033, 0.000], [0.000, 0.000, 5.208]],
  "species": ["La", "La", "Tl", "In"],
  "frac_coords": [[0.000, 0.000, 0.000], [0.000, 0.500, 0.432], [0.500, 0.500, 0.921], [0.500, 0.000, 0.511]],
  "space_group": "Pmm2, No. 25",
  "e_form_ev_per_atom": -0.503
}


(28)
{
  "formula": "La2Tl2In",
  "functional": "PBEsol",
  "state": "optimized geometry",
  "lattice": [[7.833, 0.000, 0.000], [0.000, 7.833, 0.000], [0.000, 0.000, 4.794]],
  "species": ["La", "La", "La", "La", "Tl", "Tl", "Tl", "Tl", "In", "In"],
  "frac_coords": [[0.170, 0.330, 0.000], [0.330, 0.830, 0.000], [0.670, 0.170, 0.000], [0.830, 0.670, 0.000], [0.134, 0.634, 0.500], [0.366, 0.134, 0.500], [0.634, 0.866, 0.500], [0.866, 0.366, 0.500], [0.000, 0.000, 0.500], [0.500, 0.500, 0.500]],
  "space_group": "P4/mbm, No. 127",
  "e_form_ev_per_atom": -0.448
}


(29)
{
  "formula": "La2TlIn",
  "functional": "PBEsol",
  "state": "optimized geometry",
  "lattice": [[-2.530, 2.530, 4.531], [2.530, -2.530, 4.531], [2.530, 2.530, -4.531]],
  "species": ["La", "La", "Tl", "In"],
  "frac_coords": [[0.250, 0.750, 0.500], [0.750, 0.250, 0.500], [0.000, 0.000, 0.000], [0.500, 0.500, 0.000]],
  "space_group": "I4/mmm, No. 139",
  "e_form_ev_per_atom": -0.501
}


(30)
{
  "formula": "La2TlIn",
  "functional": "PBEsol",
  "state": "optimized geometry",
  "lattice": [[-2.147, 2.510, 5.355], [2.147, -2.510, 5.355], [2.147, 2.510, -5.355]],
  "species": ["La", "La", "Tl", "In"],
  "frac_coords": [[0.000, 0.000, 0.000], [0.727, 0.227, 0.500], [0.462, 0.462, 0.000], [0.267, 0.767, 0.500]],
  "space_group": "Imm2, No. 44",
  "e_form_ev_per_atom": -0.484
}


| no. | calculated total energy (eV/atom) | spin magnetization (μB/cell) | density (g cm⁻³) |
| --- | --- | --- | --- |
| 1 | -4.630 | 0.000 | 5.30 |
| 2 | -4.502 | 0.000 | 6.80 |
| 3 | -5.638 | 3.307 | 6.68 |
| 4 | -3.194 | 0.000 | 4.56 |
| 5 | -3.754 | 0.000 | 6.26 |
| 6 | -3.764 | 0.000 | 6.29 |
| 7 | -3.369 | 0.001 | 6.33 |
| 8 | -3.685 | 0.001 | 6.26 |
| 9 | -4.866 | 0.000 | 5.38 |
| 10 | -7.909 | 0.000 | 11.75 |
| 11 | -8.004 | 0.001 | 11.05 |
| 12 | -4.894 | 3.372 | 7.80 |
| 13 | -6.172 | 0.001 | 6.81 |
| 14 | -4.405 | 0.000 | 7.47 |
| 15 | -4.806 | 0.000 | 7.47 |
| 16 | -4.159 | 0.000 | 7.48 |
| 17 | -4.805 | 0.000 | 6.38 |
| 18 | -4.972 | 0.000 | 7.06 |
| 19 | -4.583 | 0.000 | 6.07 |
| 20 | -5.542 | 1.443 | 6.57 |
| 21 | -4.578 | 0.000 | 8.55 |
| 22 | -4.579 | 0.000 | 8.55 |
| 23 | -4.571 | 0.000 | 8.35 |
| 24 | -3.744 | 0.000 | 10.06 |
| 25 | -4.363 | 0.000 | 7.77 |
| 26 | -3.738 | 0.000 | 10.10 |
| 27 | -4.580 | 0.000 | 8.61 |
| 28 | -4.235 | 0.000 | 9.05 |
| 29 | -4.578 | 0.000 | 8.55 |
| 30 | -4.560 | 0.000 | 8.59 |